No. 1
Sc3CoHg after structural relaxation. Source: Alexandria via LeMat-Bulk, functional GGA-PBE.

Summary:
As for the calculated formation energy: -0.299 eV/atom. The calculation puts the excess energy over the best structure of this formula in the dataset at 0 meV per atom.

Cell and atoms, written as POSCAR:
```
Sc3CoHg
1.0
4.8640 -0.2953 2.2580
1.5159 4.6312 2.2580
-0.0003 -0.0002 8.8296
Sc Co Hg
6 2 2
direct
0.0775 0.0775 0.7285
0.6944 0.6944 0.7283
0.2988 0.2988 0.9028
0.7012 0.7012 0.0972
0.9225 0.9225 0.2715
0.3056 0.3056 0.2717
0.7500 0.2500 0.0000
0.2500 0.7500 0.0000
0.7263 0.2737 0.5000
0.2737 0.7263 0.5000
```



No. 2
CeTmCSe after structural relaxation. Source: Alexandria via LeMat-Bulk, functional GGA-PBE.

Summary:
The uncorrected formation energy comes out at -1.09 eV per atom.

Cell and atoms, written as POSCAR:
```
CeTmCSe
1.0
3.7762 0.0000 0.0000
1.8881 3.2702 0.0000
1.8881 1.0901 6.6046
C Se Tm Ce
1 1 1 1
direct
0.2494 0.2494 0.2518
0.7535 0.7535 0.7395
0.5140 0.5140 0.4581
0.9831 0.9831 0.0506
```



No. 3
YAgBr after structural relaxation. Source: Alexandria via LeMat-Bulk, functional GGA-PBE.

Summary:
The uncorrected formation energy comes out at -0.84 eV per atom. The calculation puts the excess energy over the best structure of this formula in the dataset at 10 meV per atom.

Cell and atoms, written as POSCAR:
```
YAgBr
1.0
-4.1954 -1.8318 0.7584
3.8025 -2.2353 1.4409
-1.4524 13.7337 25.1376
Ag Y Br
6 6 6
direct
0.0000 0.0000 0.1650
0.0000 0.0000 0.8350
0.3333 0.6667 0.5016
0.3333 0.6667 0.8317
0.6667 0.3333 0.1683
0.6667 0.3333 0.4984
0.3333 0.6667 0.1081
0.0000 0.0000 0.5586
0.3333 0.6667 0.2253
0.6667 0.3333 0.7747
0.6667 0.3333 0.8919
0.0000 0.0000 0.4414
0.0000 0.0000 0.2792
0.3333 0.6667 0.9459
0.0000 0.0000 0.7208
0.6667 0.3333 0.0541
0.3333 0.6667 0.3875
0.6667 0.3333 0.6125
```



No. 4
CoPb3 after structural relaxation. Source: Alexandria via LeMat-Bulk, functional GGA-PBE.

Summary:
As for the calculated formation energy: 0.547 eV/atom.

Cell and atoms, written as POSCAR:
```
CoPb3
1.0
4.6936 0.0000 0.0000
0.0000 4.6936 0.0000
0.0000 0.0000 4.6936
Pb Co
3 1
direct
0.5000 0.0000 0.5000
0.0000 0.5000 0.5000
0.5000 0.5000 0.0000
0.0000 0.0000 0.0000
```



No. 5
Y8C4O3 after structural relaxation. Source: Alexandria via LeMat-Bulk, functional GGA-PBE.

Summary:
The uncorrected formation energy comes out at -1.41 eV per atom.

Cell and atoms, written as POSCAR:
```
Y8C4O3
1.0
-3.8604 -5.8024 1.3045
6.5924 -0.6323 -2.5119
2.3803 3.9443 5.3801
Y O C
8 3 4
direct
0.5184 0.7643 0.7643
0.5000 0.2463 0.7537
0.4816 0.2357 0.2357
0.0000 0.7568 0.2432
0.0000 0.2432 0.7568
0.9998 0.7537 0.7537
0.0002 0.2463 0.2463
0.5000 0.7537 0.2463
0.5000 0.5000 0.0000
0.5000 0.0000 0.5000
0.5000 0.5000 0.5000
0.0000 0.0000 0.0000
0.0000 0.5000 0.0000
0.0000 0.0000 0.5000
0.5000 0.0000 0.0000
```



No. 6
BaYPd2 after structural relaxation. Source: Alexandria via LeMat-Bulk, functional GGA-PBE.

Summary:
As for the calculated formation energy: -0.498 eV/atom. The calculation puts the excess energy over the best structure of this formula in the dataset at 191 meV per atom.

Cell and atoms, written as POSCAR:
```
BaYPd2
1.0
0.0000 3.7026 3.7026
3.7026 0.0000 3.7026
3.7026 3.7026 0.0000
Ba Pd Y
1 2 1
direct
0.5000 0.5000 0.5000
0.2500 0.2500 0.2500
0.7500 0.7500 0.7500
0.0000 0.0000 0.0000
```



No. 7
CsH3S after structural relaxation. Source: Alexandria via LeMat-Bulk, functional GGA-PBE.

Summary:
The calculation puts the excess energy over the best structure of this formula in the dataset at 0 meV per atom.

Cell and atoms, written as POSCAR:
```
CsH3S
1.0
-3.4031 -1.3955 2.9582
0.2778 -4.9898 -2.0343
5.9000 -2.0453 5.8224
S H Cs
2 6 2
direct
0.5000 0.1491 0.1653
0.5000 0.6491 0.8347
0.5000 0.9852 0.4709
0.5000 0.4852 0.5291
0.5000 0.3098 0.0412
0.5000 0.9081 0.5454
0.5000 0.8098 0.9588
0.5000 0.4081 0.4546
0.0000 0.6478 0.2031
0.0000 0.1478 0.7969
```



No. 8
ZnCd4Hg3 after structural relaxation. Source: Alexandria via LeMat-Bulk, functional GGA-PBE.

Summary:
As for the calculated formation energy: 0.051 eV/atom.

Cell and atoms, written as POSCAR:
```
ZnCd4Hg3
1.0
-3.0423 -0.1830 0.3496
0.5409 -4.6734 2.2609
2.1364 7.9159 9.2749
Hg Cd Zn
3 4 1
direct
0.8431 0.3091 0.6862
0.1569 0.6909 0.3138
0.0000 0.5000 0.0000
0.2842 0.7598 0.5684
0.9020 0.8703 0.8041
0.0980 0.1297 0.1959
0.7158 0.2402 0.4316
0.5000 0.0000 0.0000
```



No. 9
BaCaLaSbO6 after structural relaxation. Source: Alexandria via LeMat-Bulk, functional GGA-PBE.

Summary:
The uncorrected formation energy comes out at -2.59 eV per atom. The calculation puts the excess energy over the best structure of this formula in the dataset at 0 meV per atom.

Cell and atoms, written as POSCAR:
```
BaCaLaSbO6
1.0
-1.9110 4.8074 3.0481
-4.3303 0.8453 -4.1258
-5.2963 -5.0427 4.5562
O Ca Ba La Sb
12 2 2 2 2
direct
0.1707 0.2183 0.5592
0.4024 0.0146 0.2277
0.6814 0.2777 0.0217
0.7773 0.8244 0.0625
0.8293 0.7817 0.4408
0.5976 0.9854 0.7723
0.0504 0.4270 0.2718
0.2227 0.1756 0.9375
0.7209 0.3177 0.4881
0.9496 0.5730 0.7282
0.2791 0.6823 0.5119
0.3186 0.7223 0.9783
0.9954 0.9731 0.7477
0.0046 0.0269 0.2523
0.5097 0.5262 0.2500
0.4903 0.4738 0.7500
0.0000 0.5000 0.0000
0.5000 0.0000 0.5000
0.0000 0.5000 0.5000
0.5000 0.0000 0.0000
```



No. 10
La8HOs3Cl3 after structural relaxation. Source: Alexandria via LeMat-Bulk, functional GGA-PBE.

Summary:
For the uncorrected energy, the calculation gives -6.240 eV per atom.

Cell and atoms, written as POSCAR:
```
La8HOs3Cl3
1.0
8.2901 -0.0008 -0.0002
-4.1457 7.1869 -0.0263
0.0002 -4.7652 7.4374
La Os Cl H
8 3 3 1
direct
0.2721 0.0324 0.2928
0.2620 0.5241 0.2862
0.7380 0.4759 0.7138
0.2397 0.4795 0.7072
0.2394 0.9676 0.7070
0.7603 0.5205 0.2928
0.7606 0.0323 0.2930
0.7279 0.9676 0.7072
0.5000 0.0000 0.5000
0.5000 0.5000 0.5000
0.0000 0.5000 0.5000
0.0000 0.5000 0.0000
0.0000 0.0000 0.0000
0.5000 0.5000 0.0000
0.0000 0.0000 0.5000
```



No. 11
CoOsI3 after structural relaxation. Source: Alexandria via LeMat-Bulk, functional GGA-PBE.

Summary:
The uncorrected formation energy comes out at 1.33 eV per atom. The calculation puts the excess energy over the best structure of this formula in the dataset at 0 meV per atom.

Cell and atoms, written as POSCAR:
```
CoOsI3
1.0
-1.2415 5.0949 1.2443
-4.7788 -0.5721 -2.4256
-2.1609 -1.6620 4.6493
I Co Os
3 1 1
direct
0.0000 0.0000 0.5000
0.5000 0.0000 0.0000
0.0000 0.5000 0.0000
0.5000 0.5000 0.5000
0.0000 0.0000 0.0000
```



No. 12
KTa2Co after structural relaxation. Source: Alexandria via LeMat-Bulk, functional GGA-PBE.

Summary:
As for the calculated formation energy: 0.818 eV/atom. The calculation puts the excess energy over the best structure of this formula in the dataset at 297 meV per atom.

Cell and atoms, written as POSCAR:
```
KTa2Co
1.0
8.4891 2.1284 -0.3163
6.0295 6.3435 0.3163
-6.8188 -4.9909 2.3000
Ta K Co
2 1 1
direct
0.6390 0.1390 0.5000
0.0153 0.0153 0.0000
0.3255 0.8255 0.5000
0.5202 0.5202 0.0000
```



No. 13
KCaRh2 after structural relaxation. Source: Alexandria via LeMat-Bulk, functional GGA-PBE.

Summary:
As for the calculated formation energy: 0.311 eV/atom. The calculation puts the excess energy over the best structure of this formula in the dataset at 229 meV per atom.

Cell and atoms, written as POSCAR:
```
KCaRh2
1.0
6.3077 -0.0343 0.0209
3.4047 5.3100 -0.0209
-4.1685 -3.9039 2.6780
Rh K Ca
2 1 1
direct
0.9653 0.9653 0.0000
0.7792 0.2792 0.5000
0.2314 0.7314 0.5000
0.5241 0.5241 0.0000
```



No. 14
PmAs2Pd after structural relaxation. Source: Alexandria via LeMat-Bulk, functional GGA-PBE.

Summary:
As for the calculated formation energy: -0.887 eV/atom. The calculation puts the excess energy over the best structure of this formula in the dataset at 0 meV per atom.

Cell and atoms, written as POSCAR:
```
PmAs2Pd
1.0
-0.4382 -4.1331 0.1888
3.1098 -0.4586 -2.7257
5.0095 1.9563 8.5649
As Pd Pm
4 2 2
direct
0.6745 0.6745 0.3438
0.9820 0.5021 0.0000
0.3306 0.3306 0.6562
0.5021 0.9820 0.0000
0.7523 0.2523 0.5000
0.2523 0.7523 0.5000
0.1175 0.1175 0.2290
0.8885 0.8885 0.7710
```



No. 15
Th4P6Ru7 after structural relaxation. Source: Alexandria via LeMat-Bulk, functional GGA-PBE.

Summary:
As for the calculated formation energy: -0.957 eV/atom.

Cell and atoms, written as POSCAR:
```
Th4P6Ru7
1.0
0.4757 -7.2237 -0.1697
6.5475 2.8211 1.2681
-4.5499 1.9962 5.2679
P Th Ru
6 4 7
direct
0.6729 0.0000 0.6729
0.3271 0.3271 0.0000
0.0000 0.3271 0.3271
0.0000 0.6729 0.6729
0.6729 0.6729 0.0000
0.3271 0.0000 0.3271
0.0000 0.0000 0.5000
0.5000 0.0000 0.0000
0.5000 0.5000 0.5000
0.0000 0.5000 0.0000
0.7500 0.5000 0.2500
0.7500 0.2500 0.5000
0.5000 0.7500 0.2500
0.5000 0.2500 0.7500
0.2500 0.5000 0.7500
0.0000 0.0000 0.0000
0.2500 0.7500 0.5000
```



No. 16
Cr2InNi after structural relaxation. Source: Alexandria via LeMat-Bulk, functional GGA-PBE.

Summary:
As for the calculated formation energy: 0.749 eV/atom.

Cell and atoms, written as POSCAR:
```
Cr2InNi
1.0
-2.7079 0.7589 -6.5677
-1.5498 -6.9723 -0.1667
-4.5140 -2.6014 -2.3254
Cr In Ni
4 2 2
direct
0.8750 0.8261 0.7500
0.1739 0.6250 0.2500
0.5761 0.1250 0.2500
0.3750 0.4239 0.7500
0.0000 0.0000 0.0000
0.7500 0.2500 0.5000
0.5000 0.5000 0.0000
0.2500 0.7500 0.5000
```



No. 17
InHCl3 after structural relaxation. Source: Alexandria via LeMat-Bulk, functional GGA-PBE.

Summary:
The calculation puts the excess energy over the best structure of this formula in the dataset at 133 meV per atom.

Cell and atoms, written as POSCAR:
```
InHCl3
1.0
5.0993 0.0000 0.0000
0.0000 5.0993 0.0000
0.0000 0.0000 5.0993
H Cl In
1 3 1
direct
0.5000 0.5000 0.5000
0.0000 0.0000 0.5000
0.0000 0.5000 0.0000
0.5000 0.0000 0.0000
0.0000 0.0000 0.0000
```



No. 18
CrTcRh3 after structural relaxation. Source: Alexandria via LeMat-Bulk, functional GGA-PBE.

Summary:
As for the calculated formation energy: -0.072 eV/atom. The calculation puts the excess energy over the best structure of this formula in the dataset at 0 meV per atom.

Cell and atoms, written as POSCAR:
```
CrTcRh3
1.0
3.6550 0.0018 -1.0982
0.1135 5.3559 0.3851
0.1267 0.8237 7.0593
Cr Tc Rh
2 2 6
direct
0.8244 0.1418 0.6804
0.2195 0.4367 0.4737
0.4201 0.8423 0.8736
0.6239 0.7362 0.2805
0.6312 0.2440 0.2954
0.0253 0.5420 0.0833
0.2258 0.9455 0.4847
0.8182 0.6329 0.6694
0.4128 0.3344 0.8587
0.0186 0.0364 0.0707
```



No. 19
LaNdMg2 after structural relaxation. Source: Alexandria via LeMat-Bulk, functional GGA-PBE.

Summary:
As for the calculated formation energy: -0.114 eV/atom. The calculation puts the excess energy over the best structure of this formula in the dataset at 4 meV per atom.

Cell and atoms, written as POSCAR:
```
LaNdMg2
1.0
3.9317 0.0000 0.0000
0.0000 5.5470 0.0000
0.0000 0.0000 5.5470
Nd Mg La
1 2 1
direct
0.5000 0.5000 0.5000
0.0000 0.5000 0.0000
0.0000 0.0000 0.5000
0.5000 0.0000 0.0000
```



No. 20
K2AuS2 after structural relaxation. Source: Alexandria via LeMat-Bulk, functional GGA-PBE.

Summary:
The uncorrected formation energy comes out at -0.57 eV per atom.

Cell and atoms, written as POSCAR:
```
K2AuS2
1.0
7.1371 0.0000 0.0000
0.0000 7.1371 0.0000
0.0000 0.0000 4.8504
S K Au
4 4 2
direct
0.3263 0.8263 0.0000
0.6737 0.1737 0.0000
0.8263 0.6737 0.0000
0.1737 0.3263 0.0000
0.6479 0.8521 0.5000
0.8521 0.3521 0.5000
0.3521 0.1479 0.5000
0.1479 0.6479 0.5000
0.0000 0.0000 0.0000
0.5000 0.5000 0.0000
```



No. 21
Ca2TbCd5 after structural relaxation. Source: Alexandria via LeMat-Bulk, functional GGA-PBE.

Summary:
As for the calculated formation energy: -0.303 eV/atom.

Cell and atoms, written as POSCAR:
```
Ca2TbCd5
1.0
5.2672 0.0000 0.0000
0.0000 5.2672 0.0000
-2.6336 -2.6336 7.4417
Cd Ca Tb
5 2 1
direct
0.3822 0.8822 0.7644
0.5000 0.5000 0.0000
0.6178 0.1178 0.2356
0.8822 0.3822 0.7644
0.1178 0.6178 0.2356
0.2576 0.2576 0.5153
0.7424 0.7424 0.4847
0.0000 0.0000 0.0000
```



No. 22
SrCu2O3 after structural relaxation. Source: Alexandria via LeMat-Bulk, functional GGA-PBE.

Summary:
The uncorrected formation energy comes out at -1.33 eV per atom. The calculation puts the excess energy over the best structure of this formula in the dataset at 0 meV per atom.

Cell and atoms, written as POSCAR:
```
SrCu2O3
1.0
3.7815 0.0000 0.0000
0.0000 4.1108 0.0000
0.0000 0.0000 10.8932
O Cu Sr
6 4 2
direct
0.9503 0.0000 0.1683
0.9503 0.0000 0.8317
0.0497 0.5000 0.6683
0.0497 0.5000 0.3317
0.7775 0.5000 0.0000
0.2225 0.0000 0.5000
0.9329 0.5000 0.8360
0.0671 0.0000 0.3360
0.0671 0.0000 0.6640
0.9329 0.5000 0.1640
0.5741 0.5000 0.5000
0.4259 0.0000 0.0000
```



No. 23
LiCa2Cr2 after structural relaxation. Source: Alexandria via LeMat-Bulk, functional GGA-PBE.

Summary:
As for the calculated formation energy: 0.576 eV/atom.

Cell and atoms, written as POSCAR:
```
LiCa2Cr2
1.0
-1.6417 1.6417 10.9159
1.6417 -1.6417 10.9159
1.6417 1.6417 -10.9159
Ca Li Cr
2 1 2
direct
0.6266 0.6266 0.0000
0.3734 0.3734 0.0000
0.0000 0.0000 0.0000
0.7500 0.2500 0.5000
0.2500 0.7500 0.5000
```



No. 24
U2FeP after structural relaxation. Source: Alexandria via LeMat-Bulk, functional GGA-PBE.

Summary:
As for the calculated formation energy: 0.382 eV/atom. The calculation puts the excess energy over the best structure of this formula in the dataset at 691 meV per atom.

Cell and atoms, written as POSCAR:
```
U2FeP
1.0
2.9517 0.0000 0.0000
1.4759 2.5563 0.0000
1.4759 0.8521 9.7488
U P Fe
2 1 1
direct
0.5927 0.5927 0.2220
0.4073 0.4073 0.7780
0.5000 0.5000 0.5000
0.0000 0.0000 0.0000
```



no.,spin magnetization (Bohr magnetons per cell)
1,0.000
2,0.485
3,0.000
4,1.647
5,0.242
6,0.000
7,0.000
8,0.000
9,0.000
10,0.379
11,2.207
12,0.000
13,0.000
14,0.000
15,0.000
16,13.969
17,0.982
18,0.032
19,0.000
20,0.000
21,0.000
22,0.000
23,0.002
24,1.308